# Ca2Ga3Pd5 (PBE-GGA, optimized geometry)
data_Ca2Ga3Pd5
_symmetry_space_group_name_H-M 'C m c 21'
_symmetry_Int_Tables_number 36
_cell_length_a 4.275
_cell_length_b 24.625
_cell_length_c 6.823
_cell_angle_alpha 90.00
_cell_angle_beta 90.00
_cell_angle_gamma 90.00
loop_
_symmetry_equiv_pos_as_xyz
'x,y,z'
'-x,-y,z+1/2'
'-x,y,z'
'x,-y,z+1/2'
'x+1/2,y+1/2,z'
'-x+1/2,-y+1/2,z+1/2'
'-x+1/2,y+1/2,z'
'x+1/2,-y+1/2,z+1/2'
loop_
_atom_site_label
_atom_site_type_symbol
_atom_site_fract_x
_atom_site_fract_y
_atom_site_fract_z
Ca1 Ca 0.000 0.023 0.000
Ca2 Ca 0.000 0.323 0.935
Ga1 Ga 0.000 0.124 0.764
Ga2 Ga 0.000 0.283 0.384
Ga3 Ga 0.000 0.455 0.800
Pd1 Pd 0.000 0.097 0.373
Pd2 Pd 0.000 0.196 0.104
Pd3 Pd 0.000 0.226 0.689
Pd4 Pd 0.000 0.382 0.532
Pd5 Pd 0.000 0.441 0.173
# Energy above the lowest structure with this stoichiometry (eV per atom): 0.007
# Calculated formation energy (eV/atom): -0.6970
# V (Å³ per atom): 18.0
# Spin magnetization (μB/f.u.): 0.00